#A
RbNaPS2 | GGA-PBE | optimized geometry

Lattice parameters (Å, degrees): 5.288 5.288 5.285 90.00 90.00 90.00
Each line ends with the local moment (μB).
Positions (direct):
Na 0.000 0.000 0.000  0.01
S 0.000 0.500 0.000  0.41
S 0.500 0.000 0.000  0.41
Rb 0.500 0.500 0.500  0.01
P 0.000 0.000 0.500  0.83

Calculated values
space-group type = No. 123


#B
RbNaPS2 | GGA-PBE | optimized geometry

Lattice parameters (Å, degrees): 6.045 6.045 6.291 90.00 90.00 90.00
Each line ends with the local moment (μB).
Positions (direct):
Rb 0.000 0.000 0.000  0.08
P 0.000 0.000 0.500  1.09
S 0.000 0.500 0.000  0.69
S 0.500 0.000 0.000  0.69
Na 0.500 0.500 0.500  0.00

Calculated values
space-group type = No. 123


It is #A that is the most stable of them.